Entry 1:
Density functional theory data (GGA-PBE) for crystalline Y2MnRu at its relaxed geometry.

a b c (Å): 7.698 7.698 6.256
angles (deg): 52.03 52.03 90.00
Sites, in units of the cell vectors:
Y (0.657, 0.125, 0.250)
Y (0.093, 0.625, 0.250)
Y (0.375, 0.343, 0.750)
Y (0.875, 0.907, 0.750)
Ru (0.000, 0.000, 0.000)
Ru (0.750, 0.250, 0.500)
Mn (0.500, 0.500, 0.000)
Mn (0.250, 0.750, 0.500)

Calculated values
**Size of the total moment**: 6.846 μB/cell
**Crystal system**: tetragonal
**Energy of formation from the pure elements**: 0.35 eV per atom
**Space-group type**: I-42d, No. 122
**Raw total energy**: -59.95 eV/cell

Entry 2:
Density functional theory data (GGA-PBE) for crystalline TiBiB2Cl at its relaxed geometry.

a b c (Å): 4.306 5.750 4.306
angles (deg): 90.00 90.00 90.00
Sites, in units of the cell vectors:
B (0.000, 0.000, 0.500)
B (0.500, 0.000, 0.000)
Cl (0.500, 0.500, 0.500)
Bi (0.000, 0.500, 0.000)
Ti (0.000, 0.000, 0.000)

Calculated values
**Size of the total moment**: 0.000 μB/cell
**Crystal system**: tetragonal
**ΔE_f (raw)**: 1.130 eV/atom
**Space-group type**: P4/mmm, No. 123
**Raw total energy**: -21.32 eV/cell

Entry 3:
Density functional theory data (GGA-PBE) for crystalline RbTlFe2Os at its relaxed geometry.

a b c (Å): 4.902 5.855 4.902
angles (deg): 90.00 90.00 90.00
Sites, in units of the cell vectors:
Tl (0.000, 0.000, 0.000)
Os (0.500, 0.500, 0.500)
Fe (0.000, 0.000, 0.500)
Fe (0.500, 0.000, 0.000)
Rb (0.000, 0.500, 0.000)

Calculated values
**Size of the total moment**: 2.769 μB/cell
**Crystal system**: tetragonal
**Energy of formation from the pure elements**: 2.82 eV per atom
**Space-group type**: P4/mmm, No. 123
**Raw total energy**: -17.39 eV/cell

Entry 4:
Density functional theory data (GGA-PBE) for crystalline BaSi4Sb at its relaxed geometry.

a b c (Å): 5.745 5.745 5.745
angles (deg): 60.00 60.00 60.00
Sites, in units of the cell vectors:
Ba (0.750, 0.750, 0.750)
Si (0.918, 0.361, 0.361)
Si (0.361, 0.361, 0.918)
Si (0.361, 0.918, 0.361)
Si (0.361, 0.361, 0.361)
Sb (0.000, 0.000, 0.000)

Calculated values
**Size of the total moment**: 0.000 μB/cell
**Crystal system**: cubic
**ΔE_f (raw)**: 0.221 eV/atom
**Space-group type**: F-43m, No. 216
**Raw total energy**: -26.41 eV/cell